# 1
Ba4Na2Sr2Au | PBE-GGA | relaxed

a = 14.773 Å, b = 8.895 Å, c = 7.415 Å
α = 90.00°, β = 98.21°, γ = 90.00°
Space group C2/m (No. 12)
Unique sites:
Ba: 0.104 0.249 0.292 x8
Na: 0.145 0.000 0.777 x4
Sr: 0.156 0.500 0.819 x4
Au: 0.000 0.500 0.500 x2

Output
**Formation energy from the elements**: -1.436 eV/f.u.
**Size of the total moment**: 0.00 μB/f.u.

***

# 2
Li2ZnCo | PBE-GGA | relaxed

a = 5.037 Å, b = 8.289 Å, c = 2.501 Å
α = 90.00°, β = 90.00°, γ = 90.00°
Space group Cmmm (No. 65)
Unique sites:
Li: 0.250 0.250 0.000 x4
Zn: 0.000 0.000 0.500 x2
Co: 0.000 0.500 0.500 x2

Output
**Formation energy from the elements**: 0.283 eV/f.u.
**Size of the total moment**: 1.09 μB/f.u.

***

# 3
AgGeS3 | PBE-GGA | relaxed

a = 4.731 Å, b = 4.731 Å, c = 4.731 Å
α = 90.00°, β = 90.00°, γ = 90.00°
Space group Pm-3m (No. 221)
Unique sites:
Ag: 0.000 0.000 0.000 x1
Ge: 0.500 0.500 0.500 x1
S: 0.000 0.500 0.500 x3

Output
**Energy above the most stable polymorph in this dataset**: 450.4 meV per atom
**Uncorrected formation energy**: 492 meV/atom
**Size of the total moment**: 0.00 μB/f.u.